(1)
Density functional theory data (PBE) for an optimized crystal structure of Tl2VZnOs.

Unit cell a=5.149 b=4.709 c=5.149 alpha=90.00 beta=90.00 gamma=90.00
Site moments in Bohr magnetons follow the coordinates.
Fractional coordinates of all 5 atoms:
V  0.000  0.000  0.000  -0.86
Os  0.500  0.500  0.500  2.34
Zn  0.000  0.500  0.000  -0.03
Tl  0.500  0.000  0.000  0.00
Tl  0.000  0.000  0.500  -0.04

Results
magnetic moment = 0.303 μB per atom
calculated density = 9.51 g cm⁻³
DFT formation energy = 1.80 eV/atom



(2)
Density functional theory data (PBE) for an optimized crystal structure of YMn2AlSb.

Unit cell a=4.982 b=5.424 c=4.982 alpha=90.00 beta=90.00 gamma=90.00
Site moments in Bohr magnetons follow the coordinates.
Fractional coordinates of all 5 atoms:
Y  0.000  0.000  0.000  -0.46
Mn  0.000  0.000  0.500  3.23
Sb  0.500  0.500  0.500  0.03
Mn  0.500  0.000  0.000  3.75
Al  0.000  0.500  0.000  -0.02

Results
magnetic moment = 1.354 μB per atom
calculated density = 4.29 g cm⁻³
E_form (uncorrected) = 1.35 eV per atom